# 1
The following is a DFT calculation (GGA-PBE) of HoTm6Sc3 after structural relaxation. Values from VASP.

Cell and atoms, written as Quantum ESPRESSO input:
```
&SYSTEM
  ibrav = 0, nat = 20, ntyp = 3
/
ATOMIC_SPECIES
Ho 164.93 Ho.upf
Tm 168.93 Tm.upf
Sc 44.96 Sc.upf
CELL_PARAMETERS angstrom
5.1923 -9.1704 0.0000
5.1923 9.1704 0.0000
0.0000 0.0000 6.0521
ATOMIC_POSITIONS angstrom
Ho 5.1923 5.3323 3.0261
Ho 5.1923 -5.3323 0.0000
Tm 2.5135 3.7767 1.9999
Tm 5.1923 8.2976 4.8468
Tm 3.4605 0.7416 0.9555
Tm 5.1923 3.6652 0.1349
Tm 3.4605 -0.7416 3.9816
Tm 2.5135 -3.7767 5.0260
Tm 7.8711 3.7767 1.9999
Tm 6.9240 0.7416 0.9555
Tm 5.1923 -3.6652 3.1610
Tm 6.9240 -0.7416 3.9816
Tm 5.1923 -8.2976 1.8207
Tm 7.8711 -3.7767 5.0260
Sc 1.9166 2.0328 4.5237
Sc 1.9166 -2.0328 1.4976
Sc 5.1923 2.0742 3.5074
Sc 5.1923 -2.0742 0.4813
Sc 8.4679 2.0328 4.5237
Sc 8.4679 -2.0328 1.4976
```

Computed properties:
* formation enthalpy at 0 K: 0.17 eV/atom
* distance to the lowest polymorph of the same formula: 152.4 meV per atom
* space-group type: Cmc2_1, No. 36

# 2
The following is a DFT calculation (GGA-PBE) of Ac2SeN after structural relaxation. Values from VASP.

Cell and atoms, written as Quantum ESPRESSO input:
```
&SYSTEM
  ibrav = 0, nat = 4, ntyp = 3
/
ATOMIC_SPECIES
Ac 227.00 Ac.upf
Se 78.96 Se.upf
N 14.01 N.upf
CELL_PARAMETERS angstrom
1.9857 1.1465 7.6252
-1.9857 1.1465 7.6252
0.0000 -2.2929 7.6252
ATOMIC_POSITIONS angstrom
Ac 0.0000 0.0000 0.0000
Ac 0.0000 0.0000 3.3267
Se 0.0000 0.0000 13.1211
N 0.0000 0.0000 17.1476
```

Computed properties:
* distance to the lowest polymorph of the same formula: 258.3 meV per atom
* energy relative to the elements, uncorrected: -117.7 kJ/mol of atoms
* space-group type: R3m, No. 160

# 3
The following is a DFT calculation (GGA-PBE) of ScB after structural relaxation. Values from VASP.

Cell and atoms, written as Quantum ESPRESSO input:
```
&SYSTEM
  ibrav = 0, nat = 4, ntyp = 2
/
ATOMIC_SPECIES
Sc 44.96 Sc.upf
B 10.81 B.upf
CELL_PARAMETERS angstrom
1.7766 -4.7756 0.0000
1.7766 4.7756 0.0000
0.0000 0.0000 3.1783
ATOMIC_POSITIONS angstrom
Sc 1.7766 3.4808 2.3837
Sc 1.7766 -3.4808 0.7946
B 1.7766 0.4331 2.3837
B 1.7766 -0.4331 0.7946
```

Computed properties:
* formation enthalpy at 0 K: -0.53 eV/atom
* space-group type: Cmcm, No. 63

# 4
The following is a DFT calculation (GGA-PBE) of InAg2Ir after structural relaxation. Values from VASP.

Cell and atoms, written as Quantum ESPRESSO input:
```
&SYSTEM
  ibrav = 0, nat = 4, ntyp = 3
/
ATOMIC_SPECIES
In 114.82 In.upf
Ag 107.87 Ag.upf
Ir 192.22 Ir.upf
CELL_PARAMETERS angstrom
3.0293 0.0000 0.0000
0.0000 5.0155 0.0000
-0.1492 0.0000 4.7408
ATOMIC_POSITIONS angstrom
In 0.0000 0.0000 0.0000
Ag 0.6494 2.5078 3.5261
Ag 2.2307 2.5078 1.2147
Ir 1.4400 0.0000 2.3704
```

Computed properties:
* formation enthalpy at 0 K: 0.18 eV/atom
* space-group type: P2/m, No. 10

# 5
The following is a DFT calculation (GGA-PBE) of CsRePO2 after structural relaxation. Values from VASP.

Cell and atoms, written as Quantum ESPRESSO input:
```
&SYSTEM
  ibrav = 0, nat = 5, ntyp = 4
/
ATOMIC_SPECIES
Cs 132.91 Cs.upf
Re 186.21 Re.upf
P 30.97 P.upf
O 16.00 O.upf
CELL_PARAMETERS angstrom
4.1243 0.0000 0.0000
0.0000 4.1243 0.0000
0.0000 0.0000 4.7663
ATOMIC_POSITIONS angstrom
Cs 0.0000 0.0000 0.0000
Re 2.0621 2.0621 2.3831
P 2.0621 2.0621 0.0000
O 0.0000 2.0621 2.3831
O 2.0621 0.0000 2.3831
```

Computed properties:
* distance to the lowest polymorph of the same formula: 0.0 meV per atom
* energy relative to the elements, uncorrected: -51.9 kJ/mol of atoms
* space-group type: P4/mmm, No. 123

# 6
The following is a DFT calculation (GGA-PBE) of KCu2Br3 after structural relaxation. Values from VASP.

Cell and atoms, written as Quantum ESPRESSO input:
```
&SYSTEM
  ibrav = 0, nat = 12, ntyp = 3
/
ATOMIC_SPECIES
K 39.10 K.upf
Cu 63.55 Cu.upf
Br 79.90 Br.upf
CELL_PARAMETERS angstrom
11.5972 -2.0868 0.0000
11.5972 2.0868 0.0000
-1.2242 0.0000 7.0006
ATOMIC_POSITIONS angstrom
K 2.5494 0.0000 3.0922
K 19.4209 0.0000 3.9083
Cu 4.9831 0.0000 0.2010
Cu 10.3191 0.0000 0.2392
Cu 11.6511 0.0000 6.7613
Cu 16.9871 0.0000 6.7995
Br 1.4604 0.0000 6.3201
Br 5.2843 0.0000 5.2491
Br 9.9297 0.0000 4.9639
Br 12.0405 0.0000 2.0366
Br 16.6860 0.0000 1.7515
Br 20.5098 0.0000 0.6804
```

Computed properties:
* energy relative to the elements, uncorrected: -68.6 kJ/mol of atoms
* space-group type: C2/m, No. 12